Entry from Alexandria via LeMat-Bulk: a relaxed Cs3Sn5Se12 crystal (PBE-GGA).

Summary:
- Magnetic moment: 0.00 μB per formula unit
- ΔE_f (raw): -8.39 eV per formula unit

Unit cell a=17.6116 b=17.6116 c=17.6116 alpha=90.00 beta=90.00 gamma=90.00
Space group Ia-3d (No. 230)
One atom of each set of equivalent atoms:
Cs  0.0000  0.2500  0.1250 x24
Sn  0.0000  0.0000  0.0000 x16
Sn  0.0000  0.2500  0.3750 x24
Se  0.0387  0.0564  0.6431 x96